NaAlH2 | GGA-PBE | relaxed

abc: 3.1990 3.1990 18.0175
angles: 90.00 90.00 120.00
Last column: nearest neighbours and their distance in Å.
Space group R-3m (No. 166, hexagonal axes)
Inequivalent atoms, fractional coordinates:
Na 0.0000 0.0000 0.0000 x3  2 H 2.30
Al 0.0000 0.0000 0.5000 x3  6 H 1.98
H 0.0000 0.0000 0.1274 x6  3 Al 1.98

Properties
Calculated volume = 160 Å³ per cell
E above lowest polymorph = 377.7 meV per atom
Final energy = -2.665 eV per atom